No. 1
The following is a DFT calculation (SCAN) of a PBEsol-optimized structure of Ag2HgOs.

a b c (Å): 2.772 4.922 5.660
angles (deg): 115.77 104.17 90.00
Fractional coordinates of all 4 atoms:
Hg: 0.503 0.503 0.006
Os: 0.252 0.752 0.505
Ag: 0.747 0.247 0.495
Ag: 0.997 0.997 0.995

Results
**DOS(E_F)**: 1.8 states/eV/cell
**DFT formation energy**: 0.711 eV/atom
**E_tot**: -1.8369 hartree per atom


No. 2
The following is a DFT calculation (SCAN) of a PBEsol-optimized structure of CaP2H4O8.

a b c (Å): 5.491 8.034 7.973
angles (deg): 101.96 105.39 101.60
Fractional coordinates of all 30 atoms:
O: 0.072 0.581 0.360
O: 0.590 0.107 0.150
O: 0.928 0.419 0.640
O: 0.371 0.293 0.978
O: 0.795 0.388 0.915
O: 0.205 0.612 0.085
O: 0.531 0.401 0.323
O: 0.852 0.855 0.830
O: 0.517 0.791 0.393
O: 0.919 0.139 0.732
O: 0.483 0.209 0.607
O: 0.410 0.893 0.850
O: 0.081 0.861 0.268
O: 0.469 0.599 0.677
O: 0.148 0.145 0.170
O: 0.629 0.707 0.022
H: 0.861 0.975 0.802
H: 0.549 0.339 0.951
H: 0.000 0.500 0.000
H: 0.893 0.803 0.181
H: 0.139 0.025 0.198
H: 0.500 0.000 0.000
H: 0.107 0.197 0.819
H: 0.451 0.661 0.049
P: 0.573 0.760 0.838
P: 0.766 0.292 0.715
P: 0.427 0.240 0.162
P: 0.234 0.708 0.285
Ca: 0.809 0.654 0.531
Ca: 0.191 0.346 0.469

Results
**DOS(E_F)**: 0.0 states/eV/cell
**E_tot**: -0.3063 hartree per atom


No. 3
The following is a DFT calculation (SCAN) of a PBEsol-optimized structure of CdCoPt2.

a b c (Å): 2.773 2.773 7.665
angles (deg): 90.00 90.00 90.00
Fractional coordinates of all 4 atoms:
Pt: 0.500 0.500 0.241
Pt: 0.000 0.000 0.979
Cd: 0.000 0.000 0.513
Co: 0.500 0.500 0.767

Results
**DOS(E_F)**: 2.0 states/eV/cell
**DFT formation energy**: -0.039 eV/atom
**E_tot**: -1.7296 hartree per atom


No. 4
The following is a DFT calculation (SCAN) of a PBEsol-optimized structure of CdTe2C.

a b c (Å): 4.881 4.881 4.881
angles (deg): 60.00 60.00 60.00
Fractional coordinates of all 4 atoms:
C: 0.000 0.000 0.000
Te: 0.750 0.750 0.750
Te: 0.250 0.250 0.250
Cd: 0.500 0.500 0.500

Results
**E_form (uncorrected)**: 6.2 eV/f.u.
**DOS(E_F)**: 2.7 states/eV/cell
**E_tot**: -0.9994 hartree per atom


No. 5
The following is a DFT calculation (SCAN) of a PBEsol-optimized structure of NbHgAs2C.

a b c (Å): 4.141 5.029 5.029
angles (deg): 90.00 90.00 90.00
Fractional coordinates of all 5 atoms:
Hg: 0.500 0.500 0.500
Nb: 0.000 0.000 0.000
C: 0.500 0.000 0.000
As: 0.000 0.000 0.500
As: 0.000 0.500 0.000

Results
**DOS(E_F)**: 3.1 states/eV/cell
**DFT formation energy**: 0.850 eV/atom
**E_tot**: -1.0843 hartree per atom


No. 6
The following is a DFT calculation (SCAN) of a PBEsol-optimized structure of Cd3FePb.

a b c (Å): 4.952 4.952 4.952
angles (deg): 90.00 90.00 90.00
Fractional coordinates of all 5 atoms:
Cd: 0.000 0.000 0.500
Cd: 0.500 0.000 0.000
Cd: 0.000 0.500 0.000
Pb: 0.500 0.500 0.500
Fe: 0.000 0.000 0.000

Results
**DOS(E_F)**: 2.0 states/eV/cell
**DFT formation energy**: 0.437 eV/atom
**E_tot**: -1.3448 hartree per atom


No. 7
The following is a DFT calculation (SCAN) of a PBEsol-optimized structure of MnCuSeN2.

a b c (Å): 3.505 3.505 5.228
angles (deg): 90.00 90.00 90.00
Fractional coordinates of all 5 atoms:
N: 0.500 0.000 0.000
N: 0.000 0.500 0.000
Mn: 0.000 0.000 0.000
Se: 0.000 0.000 0.500
Cu: 0.500 0.500 0.500

Results
**E_form (uncorrected)**: 2.7 eV/f.u.
**DOS(E_F)**: 2.1 states/eV/cell
**E_tot**: -0.5098 hartree per atom


No. 8
The following is a DFT calculation (SCAN) of a PBEsol-optimized structure of CrOs2W.

a b c (Å): 4.320 4.320 4.320
angles (deg): 60.00 60.00 60.00
Fractional coordinates of all 4 atoms:
Os: 0.250 0.250 0.250
Os: 0.750 0.750 0.750
W: 0.500 0.500 0.500
Cr: 0.000 0.000 0.000

Results
**DOS(E_F)**: 2.3 states/eV/cell
**DFT formation energy**: 0.067 eV/atom
**E_tot**: -2.1275 hartree per atom


No. 9
The following is a DFT calculation (SCAN) of a PBEsol-optimized structure of Sc2PS.

a b c (Å): 5.755 5.755 7.081
angles (deg): 113.98 113.98 90.00
Fractional coordinates of all 8 atoms:
P: 0.750 0.250 0.500
P: 0.500 0.500 0.000
Sc: 0.875 0.375 0.250
Sc: 0.125 0.125 0.750
Sc: 0.375 0.875 0.250
Sc: 0.625 0.625 0.750
S: 0.000 0.000 0.000
S: 0.250 0.750 0.500

Results
**E_form (uncorrected)**: -5.9 eV/f.u.
**DOS(E_F)**: 4.8 states/eV/cell
**E_tot**: -0.4998 hartree per atom


No. 10
The following is a DFT calculation (SCAN) of a PBEsol-optimized structure of TlSb2Pt.

a b c (Å): 4.744 5.208 4.744
angles (deg): 62.91 90.00 117.09
Fractional coordinates of all 4 atoms:
Sb: 0.250 0.500 0.250
Sb: 0.750 0.500 0.750
Tl: 0.500 0.000 0.500
Pt: 0.000 0.000 0.000

Results
**E_form (uncorrected)**: 1.1 eV/f.u.
**DOS(E_F)**: 1.7 states/eV/cell
**E_tot**: -1.9844 hartree per atom


No. 11
The following is a DFT calculation (SCAN) of a PBEsol-optimized structure of In3PN.

a b c (Å): 5.133 5.133 5.133
angles (deg): 90.00 90.00 90.00
Fractional coordinates of all 5 atoms:
In: 0.500 0.000 0.000
In: 0.000 0.000 0.500
In: 0.000 0.500 0.000
N: 0.500 0.500 0.500
P: 0.000 0.000 0.000

Results
**E_form (uncorrected)**: 6.6 eV/f.u.
**DOS(E_F)**: 2.8 states/eV/cell
**E_tot**: -0.8326 hartree per atom


No. 12
The following is a DFT calculation (SCAN) of a PBEsol-optimized structure of LiNb2Te.

a b c (Å): 3.849 3.849 10.609
angles (deg): 100.45 100.45 90.00
Fractional coordinates of all 8 atoms:
Li: 0.750 0.250 0.500
Li: 0.500 0.500 0.000
Te: 0.250 0.750 0.500
Te: 0.000 0.000 0.000
Nb: 0.881 0.375 0.250
Nb: 0.369 0.875 0.250
Nb: 0.125 0.119 0.750
Nb: 0.625 0.631 0.750

Results
**E_form (uncorrected)**: 0.7 eV/f.u.
**DOS(E_F)**: 6.3 states/eV/cell
**E_tot**: -0.9661 hartree per atom


No. 13
The following is a DFT calculation (SCAN) of a PBEsol-optimized structure of ScNiHgAu2.

a b c (Å): 4.665 5.014 5.014
angles (deg): 90.00 90.00 90.00
Fractional coordinates of all 5 atoms:
Ni: 0.500 0.000 0.000
Hg: 0.000 0.000 0.000
Sc: 0.500 0.500 0.500
Au: 0.000 0.500 0.000
Au: 0.000 0.000 0.500

Results
**DOS(E_F)**: 3.8 states/eV/cell
**DFT formation energy**: 0.685 eV/atom
**E_tot**: -1.7159 hartree per atom


No. 14
The following is a DFT calculation (SCAN) of a PBEsol-optimized structure of YZrZnCo2.

a b c (Å): 4.473 4.473 5.132
angles (deg): 90.00 90.00 90.00
Fractional coordinates of all 5 atoms:
Co: 0.000 0.500 0.000
Co: 0.500 0.000 0.000
Zn: 0.500 0.500 0.500
Zr: 0.000 0.000 0.500
Y: 0.000 0.000 0.000

Results
**DOS(E_F)**: 3.8 states/eV/cell
**DFT formation energy**: 1.619 eV/atom
**E_tot**: -0.7245 hartree per atom


No. 15
The following is a DFT calculation (SCAN) of a PBEsol-optimized structure of SrAg2Te.

a b c (Å): 4.514 4.506 5.740
angles (deg): 113.11 113.15 90.00
Fractional coordinates of all 4 atoms:
Sr: 0.500 0.000 0.000
Ag: 0.750 0.750 0.501
Ag: 0.250 0.250 0.499
Te: 0.000 0.500 0.000

Results
**E_form (uncorrected)**: -1.5 eV/f.u.
**DOS(E_F)**: 1.4 states/eV/cell
**E_tot**: -1.1371 hartree per atom


No. 16
The following is a DFT calculation (SCAN) of a PBEsol-optimized structure of MnBe2As.

a b c (Å): 2.974 2.974 4.720
angles (deg): 90.00 90.00 90.00
Fractional coordinates of all 4 atoms:
Mn: 0.000 0.000 0.498
Be: 0.000 0.000 0.023
Be: 0.500 0.500 0.236
As: 0.500 0.500 0.743

Results
**DOS(E_F)**: 1.0 states/eV/cell
**DFT formation energy**: 0.027 eV/atom
**E_tot**: -0.4322 hartree per atom


No. 17
The following is a DFT calculation (SCAN) of a PBEsol-optimized structure of CrAgF2.

a b c (Å): 3.146 3.146 8.166
angles (deg): 78.89 78.89 60.00
Fractional coordinates of all 4 atoms:
F: 0.126 0.126 0.621
F: 0.874 0.874 0.379
Cr: 0.500 0.500 0.500
Ag: 0.000 0.000 0.000

Results
**E_form (uncorrected)**: -6.3 eV/f.u.
**DOS(E_F)**: 2.5 states/eV/cell
**E_tot**: -0.5800 hartree per atom


No. 18
The following is a DFT calculation (SCAN) of a PBEsol-optimized structure of ReSeBr.

a b c (Å): 3.214 3.214 7.039
angles (deg): 90.00 90.00 120.00
Fractional coordinates of all 3 atoms:
Br: 0.000 0.000 0.929
Se: 0.667 0.333 0.421
Re: 0.333 0.667 0.650

Results
**E_form (uncorrected)**: 0.5 eV/f.u.
**DOS(E_F)**: 1.5 states/eV/cell
**E_tot**: -1.3487 hartree per atom


No. 19
The following is a DFT calculation (SCAN) of a PBEsol-optimized structure of KSr2HfPd.

a b c (Å): 5.082 6.063 6.063
angles (deg): 90.00 90.00 90.00
Fractional coordinates of all 5 atoms:
Pd: 0.000 0.000 0.000
Hf: 0.500 0.000 0.000
Sr: 0.000 0.500 0.000
Sr: 0.000 0.000 0.500
K: 0.500 0.500 0.500

Results
**DOS(E_F)**: 4.1 states/eV/cell
**DFT formation energy**: 0.130 eV/atom
**E_tot**: -1.0854 hartree per atom


No. 20
The following is a DFT calculation (SCAN) of a PBEsol-optimized structure of Li2InAs.

a b c (Å): 2.995 4.417 6.047
angles (deg): 98.13 90.00 109.82
Fractional coordinates of all 4 atoms:
In: 0.500 0.000 0.000
Li: 0.260 0.521 0.302
Li: 0.740 0.479 0.698
As: 0.000 0.000 0.500

Results
**DOS(E_F)**: 1.1 states/eV/cell
**DFT formation energy**: -0.359 eV/atom
**E_tot**: -0.5493 hartree per atom